Compound: CaZn
Source: the Alexandria database
Functional: SCAN
Structure: PBEsol geometry

ΔH_f (0 K): -0.54 eV/f.u.
uncorrected energy: -23.72 eV/cell

Structure (CIF):
```
data_CaZn
_chemical_formula_sum 'Ca1 Zn1'
_cell_length_a 3.612
_cell_length_b 3.612
_cell_length_c 3.612
_cell_angle_alpha 90.00
_cell_angle_beta 90.00
_cell_angle_gamma 90.00
_space_group_name_H-M_alt 'P m -3 m'
_space_group_IT_number 221
_space_group_name_Hall '-P 4 2 3'
loop_
_atom_site_label
_atom_site_fract_x
_atom_site_fract_y
_atom_site_fract_z
Ca1 0.000 0.000 0.000
Zn1 0.500 0.500 0.500
```


Compound: TaAl2Sb
Source: the Alexandria database
Functional: SCAN
Structure: PBEsol geometry

energy relative to the elements, uncorrected: 116 meV/atom
uncorrected energy: -237.77 eV/cell

Structure (CIF):
```
data_TaAl2Sb
_chemical_formula_sum 'Ta2 Al4 Sb2'
_cell_length_a 3.828
_cell_length_b 4.603
_cell_length_c 8.598
_cell_angle_alpha 90.00
_cell_angle_beta 90.00
_cell_angle_gamma 90.00
_space_group_name_H-M_alt 'C m m 2'
_space_group_IT_number 35
_space_group_name_Hall 'C 2 -2'
loop_
_atom_site_label
_atom_site_fract_x
_atom_site_fract_y
_atom_site_fract_z
Ta1 0.000 0.000 0.000
Al1 0.000 0.000 0.447
Al2 0.000 0.500 0.224
Sb1 0.000 0.500 0.747
```


Compound: HoRe2
Source: the Alexandria database
Functional: SCAN
Structure: PBEsol geometry

ΔH_f (0 K): -1.03 eV/f.u.
uncorrected energy: -768.86 eV/cell

Structure (CIF):
```
data_HoRe2
_chemical_formula_sum 'Ho4 Re8'
_cell_length_a 5.3541
_cell_length_b 5.3541
_cell_length_c 8.6983
_cell_angle_alpha 90.00
_cell_angle_beta 90.00
_cell_angle_gamma 120.00
_space_group_name_H-M_alt 'P 63/m m c'
_space_group_IT_number 194
_space_group_name_Hall '-P 6c 2c'
loop_
_atom_site_label
_atom_site_fract_x
_atom_site_fract_y
_atom_site_fract_z
Ho1 0.3333 0.6667 0.0623
Re1 0.0000 0.0000 0.0000
Re2 0.1708 0.3417 0.7500
```


Compound: TaTlF3
Source: the Alexandria database
Functional: SCAN
Structure: PBEsol geometry

energy relative to the elements, uncorrected: -1748 meV/atom
uncorrected energy: -158.30 eV/cell

Structure (CIF):
```
data_TaTlF3
_chemical_formula_sum 'Ta1 Tl1 F3'
_cell_length_a 4.293
_cell_length_b 4.293
_cell_length_c 4.293
_cell_angle_alpha 90.00
_cell_angle_beta 90.00
_cell_angle_gamma 90.00
_space_group_name_H-M_alt 'P m -3 m'
_space_group_IT_number 221
_space_group_name_Hall '-P 4 2 3'
loop_
_atom_site_label
_atom_site_fract_x
_atom_site_fract_y
_atom_site_fract_z
Ta1 0.000 0.000 0.000
Tl1 0.500 0.500 0.500
F1 0.000 0.000 0.500
```


Compound: In2FeHg
Source: the Alexandria database
Functional: SCAN
Structure: PBEsol geometry

ΔH_f (0 K): 1.25 eV/f.u.
uncorrected energy: -303.63 eV/cell

Structure (CIF):
```
data_In2FeHg
_chemical_formula_sum 'In4 Fe2 Hg2'
_cell_length_a 9.314
_cell_length_b 3.117
_cell_length_c 5.570
_cell_angle_alpha 90.00
_cell_angle_beta 103.10
_cell_angle_gamma 90.00
_space_group_name_H-M_alt 'C 1 2/m 1'
_space_group_IT_number 12
_space_group_name_Hall '-C 2y'
loop_
_atom_site_label
_atom_site_fract_x
_atom_site_fract_y
_atom_site_fract_z
In1 0.236 0.000 0.224
Fe1 0.000 0.500 0.000
Hg1 0.000 0.000 0.500
```


Compound: Ce4Si3S12
Source: the Alexandria database
Functional: SCAN
Structure: PBEsol geometry

energy relative to the elements, uncorrected: -1620 meV/atom
uncorrected energy: -2127.67 eV/cell

Structure (CIF):
```
data_Ce4Si3S12
_chemical_formula_sum 'Ce24 Si18 S72'
_cell_length_a 18.9296
_cell_length_b 18.9296
_cell_length_c 7.8173
_cell_angle_alpha 90.00
_cell_angle_beta 90.00
_cell_angle_gamma 120.00
_space_group_name_H-M_alt 'R 3 c'
_space_group_IT_number 161
_space_group_name_Hall 'R 3 -2"c'
loop_
_atom_site_label
_atom_site_fract_x
_atom_site_fract_y
_atom_site_fract_z
Ce1 0.0000 0.0000 0.0000
Ce2 0.1046 0.4351 0.4620
Si1 0.0144 0.2002 0.3487
S1 0.0019 0.2715 0.1533
S2 0.0459 0.4894 0.1706
S3 0.0603 0.1250 0.2486
S4 0.2011 0.0848 0.5014
```